No. 1
First-principles (GGA-PBE) data for a relaxed structure of TbTl3Sb2S6, as listed in the Alexandria database.

```
data_TbTl3Sb2S6
_cell_length_a 7.034
_cell_length_b 12.184
_cell_length_c 7.792
_cell_angle_alpha 90.00
_cell_angle_beta 107.51
_cell_angle_gamma 90.00
_space_group_name_H-M_alt 'C 1 2/m 1'
_space_group_IT_number 12
loop_
_space_group_symop_operation_xyz
'x,y,z'
'-x,-y,-z'
'-x,y,-z'
'x,-y,z'
'x+1/2,y+1/2,z'
'-x+1/2,-y+1/2,-z'
'-x+1/2,y+1/2,-z'
'x+1/2,-y+1/2,z'
loop_
_atom_site_label
_atom_site_type_symbol
_atom_site_fract_x
_atom_site_fract_y
_atom_site_fract_z
Tb1 Tb 0.000 0.000 0.000
Tl1 Tl 0.000 0.166 0.500
Tl2 Tl 0.000 0.500 0.500
Sb1 Sb 0.000 0.334 0.000
S1 S 0.234 0.166 0.202
S2 S 0.234 0.500 0.200
```

Mass density: 6.30 g/cm3
Uncorrected energy: -4.439 eV per atom

No. 2
First-principles (GGA-PBE) data for a relaxed structure of TbTl2SbS4, as listed in the Alexandria database.

```
data_TbTl2SbS4
_cell_length_a 8.343
_cell_length_b 8.479
_cell_length_c 11.908
_cell_angle_alpha 90.00
_cell_angle_beta 90.00
_cell_angle_gamma 90.00
_space_group_name_H-M_alt 'I m m a'
_space_group_IT_number 74
_space_group_name_Hall '-I 2b 2'
loop_
_atom_site_label
_atom_site_type_symbol
_atom_site_fract_x
_atom_site_fract_y
_atom_site_fract_z
Tb1 Tb 0.250 0.250 0.250
Tl1 Tl 0.000 0.000 0.000
Tl2 Tl 0.250 0.250 0.750
Sb1 Sb 0.000 0.000 0.500
S1 S 0.000 0.032 0.266
S2 S 0.222 0.250 0.484
```

Mass density: 6.45 g/cm3
Uncorrected energy: -4.621 eV per atom

No. 3
First-principles (GGA-PBE) data for a relaxed structure of TbTmSbS, as listed in the Alexandria database.

```
data_TbTmSbS
_cell_length_a 4.0315
_cell_length_b 4.0315
_cell_length_c 21.8806
_cell_angle_alpha 90.00
_cell_angle_beta 90.00
_cell_angle_gamma 120.00
_space_group_name_H-M_alt 'R 3 m'
_space_group_IT_number 160
_space_group_name_Hall 'R 3 -2"'
loop_
_atom_site_label
_atom_site_type_symbol
_atom_site_fract_x
_atom_site_fract_y
_atom_site_fract_z
Tb1 Tb 0.0000 0.0000 0.0000
Tm1 Tm 0.0000 0.0000 0.1610
Sb1 Sb 0.0000 0.0000 0.5780
S1 S 0.0000 0.0000 0.7513
```

Mass density: 7.79 g/cm3
Uncorrected energy: -5.688 eV per atom

No. 4
First-principles (GGA-PBE) data for a relaxed structure of TbYSbS, as listed in the Alexandria database.

```
data_TbYSbS
_cell_length_a 4.9537
_cell_length_b 4.9537
_cell_length_c 32.1403
_cell_angle_alpha 90.00
_cell_angle_beta 90.00
_cell_angle_gamma 120.00
_space_group_name_H-M_alt 'R -3 m'
_space_group_IT_number 166
_space_group_name_Hall '-R 3 2"'
loop_
_atom_site_label
_atom_site_type_symbol
_atom_site_fract_x
_atom_site_fract_y
_atom_site_fract_z
Tb1 Tb 0.0000 0.0000 0.2054
Y1 Y 0.0000 0.0000 0.3780
Sb1 Sb 0.0000 0.0000 0.1053
S1 S 0.0000 0.0000 0.2954
```

Mass density: 5.86 g/cm3
Uncorrected energy: -6.102 eV per atom

No. 5
First-principles (GGA-PBE) data for a relaxed structure of TcSbS2, as listed in the Alexandria database.

```
data_TcSbS2
_cell_length_a 6.238
_cell_length_b 6.238
_cell_length_c 9.551
_cell_angle_alpha 90.00
_cell_angle_beta 90.00
_cell_angle_gamma 90.00
_space_group_name_H-M_alt 'I -4 2 d'
_space_group_IT_number 122
_space_group_name_Hall 'I -4 2bw'
loop_
_atom_site_label
_atom_site_type_symbol
_atom_site_fract_x
_atom_site_fract_y
_atom_site_fract_z
Tc1 Tc 0.000 0.000 0.000
Sb1 Sb 0.000 0.000 0.500
S1 S 0.177 0.250 0.125
```

Mass density: 5.07 g/cm3
Uncorrected energy: -5.560 eV per atom

No. 6
First-principles (GGA-PBE) data for a relaxed structure of TcSbS3, as listed in the Alexandria database.

```
data_TcSbS3
_cell_length_a 4.973
_cell_length_b 4.973
_cell_length_c 4.973
_cell_angle_alpha 90.00
_cell_angle_beta 90.00
_cell_angle_gamma 90.00
_space_group_name_H-M_alt 'P m -3 m'
_space_group_IT_number 221
_space_group_name_Hall '-P 4 2 3'
loop_
_atom_site_label
_atom_site_type_symbol
_atom_site_fract_x
_atom_site_fract_y
_atom_site_fract_z
Tc1 Tc 0.000 0.000 0.000
Sb1 Sb 0.500 0.500 0.500
S1 S 0.000 0.500 0.500
```

Mass density: 4.26 g/cm3
Uncorrected energy: -4.385 eV per atom

No. 7
First-principles (GGA-PBE) data for a relaxed structure of TcSbS2, as listed in the Alexandria database.

```
data_TcSbS2
_cell_length_a 3.4271
_cell_length_b 3.4271
_cell_length_c 25.0929
_cell_angle_alpha 90.00
_cell_angle_beta 90.00
_cell_angle_gamma 120.00
_space_group_name_H-M_alt 'R -3 m'
_space_group_IT_number 166
_space_group_name_Hall '-R 3 2"'
loop_
_atom_site_label
_atom_site_type_symbol
_atom_site_fract_x
_atom_site_fract_y
_atom_site_fract_z
Tc1 Tc 0.0000 0.0000 0.0000
Sb1 Sb 0.0000 0.0000 0.5000
S1 S 0.0000 0.0000 0.3888
```

Mass density: 5.54 g/cm3
Uncorrected energy: -5.857 eV per atom

No. 8
First-principles (GGA-PBE) data for a relaxed structure of TcSbS2, as listed in the Alexandria database.

```
data_TcSbS2
_cell_length_a 3.1405
_cell_length_b 3.1405
_cell_length_c 27.1434
_cell_angle_alpha 90.00
_cell_angle_beta 90.00
_cell_angle_gamma 120.00
_space_group_name_H-M_alt 'R -3 m'
_space_group_IT_number 166
_space_group_name_Hall '-R 3 2"'
loop_
_atom_site_label
_atom_site_type_symbol
_atom_site_fract_x
_atom_site_fract_y
_atom_site_fract_z
Tc1 Tc 0.0000 0.0000 0.0000
Sb1 Sb 0.0000 0.0000 0.5000
S1 S 0.0000 0.0000 0.0816
```

Mass density: 6.10 g/cm3
Uncorrected energy: -5.162 eV per atom